Entry 1:
# Ba3Sr2In3 PBE optimized geometry
# - ΔH_f (0 K): -0.290 eV per atom
# - Raw total energy: -19.67 eV/f.u.
# - Volume: 42.9 Å³ per atom
data_Ba3Sr2In3
_chemical_formula_sum 'Ba6 Sr4 In6'
_space_group_name_H-M_alt 'I m m m'
_space_group_IT_number 71
_space_group_name_Hall '-I 2 2'
_cell_length_a 4.2826
_cell_length_b 6.2385
_cell_length_c 25.6756
_cell_angle_alpha 90.00
_cell_angle_beta 90.00
_cell_angle_gamma 90.00
loop_
_atom_site_label
_atom_site_type_symbol
_atom_site_fract_x
_atom_site_fract_y
_atom_site_fract_z
Ba1 Ba 0.0000 0.0000 0.0000
Ba2 Ba 0.0000 0.5000 0.1154
Sr1 Sr 0.0000 0.0000 0.2222
In1 In 0.0000 0.0000 0.5000
In2 In 0.0000 0.5000 0.3830

---

Entry 2:
# Ba2SrIn PBE optimized geometry
# - ΔH_f (0 K): -0.204 eV per atom
# - Energy above the lowest structure with this stoichiometry: 14 meV per atom
# - Raw total energy: -9.08 eV/f.u.
# - Volume: 48.8 Å³ per atom
data_Ba2SrIn
_chemical_formula_sum 'Ba16 Sr8 In8'
_space_group_name_H-M_alt 'I -4'
_space_group_IT_number 82
_space_group_name_Hall 'I -4'
_cell_length_a 14.4623
_cell_length_b 14.4623
_cell_length_c 7.4716
_cell_angle_alpha 90.00
_cell_angle_beta 90.00
_cell_angle_gamma 90.00
loop_
_atom_site_label
_atom_site_type_symbol
_atom_site_fract_x
_atom_site_fract_y
_atom_site_fract_z
Ba1 Ba 0.0313 0.3632 0.4783
Ba2 Ba 0.0852 0.8797 0.2451
Sr1 Sr 0.1677 0.7773 0.7715
In1 In 0.0531 0.2936 0.9806

---

Entry 3:
# Ba2Sr3In2 PBE optimized geometry
# - ΔH_f (0 K): -0.252 eV per atom
# - Raw total energy: -16.13 eV/f.u.
# - Volume: 45.2 Å³ per atom
data_Ba2Sr3In2
_chemical_formula_sum 'Ba4 Sr6 In4'
_space_group_name_H-M_alt 'C 1 2/m 1'
_space_group_IT_number 12
_space_group_name_Hall '-C 2y'
_cell_length_a 12.2944
_cell_length_b 5.6067
_cell_length_c 9.7153
_cell_angle_alpha 90.00
_cell_angle_beta 108.95
_cell_angle_gamma 90.00
loop_
_atom_site_label
_atom_site_type_symbol
_atom_site_fract_x
_atom_site_fract_y
_atom_site_fract_z
Ba1 Ba 0.1370 0.0000 0.3017
Sr1 Sr 0.0000 0.5000 0.5000
Sr2 Sr 0.1360 0.5000 0.9292
In1 In 0.1684 0.0000 0.7117

---

Entry 4:
# Ba2SrIn2 PBE optimized geometry
# - ΔH_f (0 K): -0.316 eV per atom
# - Energy above the lowest structure with this stoichiometry: 31 meV per atom
# - Raw total energy: -12.59 eV/f.u.
# - Volume: 43.6 Å³ per atom
data_Ba2SrIn2
_chemical_formula_sum 'Ba4 Sr2 In4'
_space_group_name_H-M_alt 'C 1 2/m 1'
_space_group_IT_number 12
_space_group_name_Hall '-C 2y'
_cell_length_a 10.0469
_cell_length_b 5.7917
_cell_length_c 7.4920
_cell_angle_alpha 90.00
_cell_angle_beta 90.00
_cell_angle_gamma 90.00
loop_
_atom_site_label
_atom_site_type_symbol
_atom_site_fract_x
_atom_site_fract_y
_atom_site_fract_z
Ba1 Ba 0.1664 0.0000 0.1632
Sr1 Sr 0.0000 0.5000 0.5000
In1 In 0.1670 0.0000 0.6409

---

Entry 5:
# Ba4SrIn PBE optimized geometry
# - ΔH_f (0 K): 0.224 eV per atom
# - Energy above the lowest structure with this stoichiometry: 356 meV per atom
# - Raw total energy: -10.77 eV/f.u.
# - Volume: 53.3 Å³ per atom
data_Ba4SrIn
_chemical_formula_sum 'Ba16 Sr4 In4'
_space_group_name_H-M_alt 'F -4 3 m'
_space_group_IT_number 216
_space_group_name_Hall 'F -4 2 3'
_cell_length_a 10.8585
_cell_length_b 10.8585
_cell_length_c 10.8585
_cell_angle_alpha 90.00
_cell_angle_beta 90.00
_cell_angle_gamma 90.00
loop_
_atom_site_label
_atom_site_type_symbol
_atom_site_fract_x
_atom_site_fract_y
_atom_site_fract_z
Ba1 Ba 0.1236 0.1236 0.1236
Sr1 Sr 0.0000 0.0000 0.5000
In1 In 0.2500 0.2500 0.7500

---

Entry 6:
# Ba2SrIn PBE optimized geometry
# - ΔH_f (0 K): -0.218 eV per atom
# - Energy above the lowest structure with this stoichiometry: 0 meV per atom
# - Raw total energy: -9.14 eV/f.u.
# - Volume: 49.5 Å³ per atom
data_Ba2SrIn
_chemical_formula_sum 'Ba2 Sr1 In1'
_space_group_name_H-M_alt 'P 4/m m m'
_space_group_IT_number 123
_space_group_name_Hall '-P 4 2'
_cell_length_a 4.3238
_cell_length_b 4.3238
_cell_length_c 10.5948
_cell_angle_alpha 90.00
_cell_angle_beta 90.00
_cell_angle_gamma 90.00
loop_
_atom_site_label
_atom_site_type_symbol
_atom_site_fract_x
_atom_site_fract_y
_atom_site_fract_z
Ba1 Ba 0.0000 0.0000 0.1895
Sr1 Sr 0.5000 0.5000 0.5000
In1 In 0.5000 0.5000 0.0000